1.
Cs2KThBr8 | Alexandria via LeMat-Bulk | PBE | optimized geometry; M_tot = 1.00 μB/f.u.; raw formation energy = -1.59 eV/atom
1.0
7.298 0.000 0.000
0.056 8.057 0.000
0.089 0.051 9.895
Cs K Th Br
2 1 1 8
direct
0.003 0.499 0.242
0.997 0.501 0.758
0.500 0.000 0.500
0.500 0.000 0.000
0.261 0.890 0.214
0.264 0.886 0.790
0.315 0.312 0.997
0.342 0.395 0.500
0.658 0.605 0.500
0.685 0.688 0.003
0.736 0.114 0.210
0.739 0.110 0.786

=====

2.
CsK2TiBr6 | Alexandria via LeMat-Bulk | PBE | optimized geometry; M_tot = 1.00 μB/f.u.; DOS(E_F) = 6.8 states/eV/cell; raw formation energy = -1.51 eV/atom
1.0
4.052 2.340 7.060
-4.052 2.340 7.060
0.000 -4.679 7.060
Cs K Ti Br
1 2 1 6
direct
0.000 0.000 0.000
0.284 0.284 0.284
0.799 0.799 0.799
0.487 0.487 0.487
0.154 0.669 0.414
0.278 0.574 0.815
0.414 0.154 0.669
0.574 0.815 0.278
0.669 0.414 0.154
0.815 0.278 0.574

=====

3.
Cs2KTiBr6 | Alexandria via LeMat-Bulk | PBE | optimized geometry; M_tot = 1.00 μB/f.u.; DOS(E_F) = 8.1 states/eV/cell; raw formation energy = -1.56 eV/atom
1.0
0.000 5.767 5.767
5.767 0.000 5.767
5.767 5.767 0.000
Cs K Ti Br
2 1 1 6
direct
0.250 0.250 0.250
0.750 0.750 0.750
0.000 0.000 0.000
0.500 0.500 0.500
0.275 0.275 0.725
0.275 0.725 0.275
0.275 0.725 0.725
0.725 0.275 0.275
0.725 0.275 0.725
0.725 0.725 0.275